# Tb4Nd2Th3 PBE relaxed
# Spin magnetization: 0.00 Bohr magnetons per cell
# ΔH_f (0 K): 0.081 eV/atom
data_Tb4Nd2Th3
_chemical_formula_sum 'Tb4 Nd2 Th3'
_cell_length_a 3.5813
_cell_length_b 3.5813
_cell_length_c 26.8218
_cell_angle_alpha 90.00
_cell_angle_beta 90.00
_cell_angle_gamma 120.00
_symmetry_space_group_name_H-M 'P 3 m 1'
_symmetry_Int_Tables_number 156
_symmetry_space_group_name_Hall 'P 3 -2"'
loop_
_atom_site_label
_atom_site_fract_x
_atom_site_fract_y
_atom_site_fract_z
Tb1 0.0000 0.0000 0.0000
Tb2 0.0000 0.0000 0.2158
Tb3 0.3333 0.6667 0.3231
Tb4 0.3333 0.6667 0.5398
Nd1 0.0000 0.0000 0.6518
Nd2 0.0000 0.0000 0.8727
Th1 0.0000 0.0000 0.4319
Th2 0.3333 0.6667 0.1055
Th3 0.3333 0.6667 0.7635

# Mn2PtN2 PBE relaxed
# Spin magnetization: 2.29 Bohr magnetons per cell
# ΔE_f (raw): 0.291 eV/atom
data_Mn2PtN2
_chemical_formula_sum 'Mn4 Pt2 N4'
_cell_length_a 3.566
_cell_length_b 3.566
_cell_length_c 8.537
_cell_angle_alpha 90.00
_cell_angle_beta 90.00
_cell_angle_gamma 90.00
_symmetry_space_group_name_H-M 'I 4/m m m'
_symmetry_Int_Tables_number 139
_symmetry_space_group_name_Hall '-I 4 2'
loop_
_atom_site_label
_atom_site_fract_x
_atom_site_fract_y
_atom_site_fract_z
Mn1 0.000 0.500 0.250
Pt1 0.000 0.000 0.000
N1 0.000 0.000 0.328

# LiPaZn PBE relaxed
# Spin magnetization: 7.79 Bohr magnetons per cell
# ΔH_f (0 K): 0.329 eV/atom
data_LiPaZn
_chemical_formula_sum 'Li8 Pa8 Zn8'
_cell_length_a 4.134
_cell_length_b 9.901
_cell_length_c 11.202
_cell_angle_alpha 90.00
_cell_angle_beta 90.00
_cell_angle_gamma 90.00
_symmetry_space_group_name_H-M 'F m m m'
_symmetry_Int_Tables_number 69
_symmetry_space_group_name_Hall '-F 2 2'
loop_
_atom_site_label
_atom_site_fract_x
_atom_site_fract_y
_atom_site_fract_z
Li1 0.250 0.250 0.250
Pa1 0.000 0.143 0.000
Zn1 0.000 0.000 0.325

# SrMgTlCr2 PBE relaxed
# Spin magnetization: 9.38 Bohr magnetons per cell
# ΔH_f (0 K): 1.051 eV/atom
data_SrMgTlCr2
_chemical_formula_sum 'Sr1 Mg1 Tl1 Cr2'
_cell_length_a 5.215
_cell_length_b 5.215
_cell_length_c 6.069
_cell_angle_alpha 90.00
_cell_angle_beta 90.00
_cell_angle_gamma 90.00
_symmetry_space_group_name_H-M 'P 4/m m m'
_symmetry_Int_Tables_number 123
_symmetry_space_group_name_Hall '-P 4 2'
loop_
_atom_site_label
_atom_site_fract_x
_atom_site_fract_y
_atom_site_fract_z
Sr1 0.000 0.000 0.000
Mg1 0.000 0.000 0.500
Tl1 0.500 0.500 0.000
Cr1 0.000 0.500 0.500